{"formula": "BaSrP2", "functional": "PBE", "state": "relaxed", "lattice_angstrom": [[2.500, 1.443, 5.641], [-2.500, 1.443, 5.641], [0.000, -2.887, 5.641]], "species": ["Ba", "Sr", "P", "P"], "fractional_positions": [[0.000, 0.000, 0.000], [0.500, 0.500, 0.500], [0.242, 0.242, 0.242], [0.758, 0.758, 0.758]], "formation_enthalpy_0k_ev_per_atom": -0.6258, "de_polymorph_mev_per_atom": 304.1, "total_energy_ev_per_cell": -16.9}